The following is a DFT calculation (PBEsol) of crystalline Sr2ScRe at its relaxed geometry.

Calculated values
Crystal system   orthorhombic
Energy relative to the elements   0.534 eV/atom
V   252 Å³ per cell

Unit cell a=3.2748 b=4.3371 c=17.7561 alpha=90.00 beta=90.00 gamma=90.00
Space group Immm (No. 71)
Inequivalent atoms, fractional coordinates:
1 Sr 0.0000 0.0000 0.1536
2 Sc 0.0000 0.5000 0.0000
3 Re 0.0000 0.5000 0.5000